Here is a relaxed RbCa2CrCu crystal from Alexandria. Energies are from PBE.

Properties
SG: P4/mmm (123)
DFT formation energy (meV/atom): 808
V (Å³/f.u.): 157.4

Lattice parameters (Å, degrees): 5.7630 4.7378 5.7630 90.00 90.00 90.00
Last column: magnetic moment on the atom in μB.
Positions (direct):
1 Cu 0.0000 0.0000 0.0000  0.01
2 Ca 0.0000 0.0000 0.5000  -0.02
3 Cr 0.0000 0.5000 0.0000  0.14
4 Rb 0.5000 0.5000 0.5000  -0.01
5 Ca 0.5000 0.0000 0.0000  -0.03

Here is a relaxed SrCaCrCu2 crystal from Alexandria. Energies are from PBE.

Properties
SG: P4/mmm (123)
DFT formation energy (meV/atom): 1103
V (Å³/f.u.): 158.5

Lattice parameters (Å, degrees): 5.3059 5.6298 5.3059 90.00 90.00 90.00
Last column: magnetic moment on the atom in μB.
Positions (direct):
1 Cu 0.0000 0.0000 0.5000  0.03
2 Ca 0.5000 0.5000 0.5000  0.00
3 Cr 0.0000 0.5000 0.0000  4.14
4 Sr 0.0000 0.0000 0.0000  0.07
5 Cu 0.5000 0.0000 0.0000  0.01

Here is a relaxed CaTlCrCu2 crystal from Alexandria. Energies are from PBE.

Properties
SG: P4/mmm (123)
DFT formation energy (meV/atom): 1294
V (Å³/f.u.): 147.5

Lattice parameters (Å, degrees): 5.0469 5.7890 5.0469 90.00 90.00 90.00
Last column: magnetic moment on the atom in μB.
Positions (direct):
1 Cr 0.5000 0.5000 0.5000  4.20
2 Tl 0.0000 0.5000 0.0000  0.00
3 Ca 0.0000 0.0000 0.0000  -0.01
4 Cu 0.5000 0.0000 0.0000  0.00
5 Cu 0.0000 0.0000 0.5000  0.02

Here is a relaxed CaZnCrCu crystal from Alexandria. Energies are from PBE.

Properties
SG: P4mm (99)
ΔE to the lowest computed polymorph (meV/atom): 31.4
DFT formation energy (meV/atom): 167
V (Å³/f.u.): 73.6

Lattice parameters (Å, degrees): 3.2921 3.2950 6.7848 90.00 90.00 90.00
Last column: magnetic moment on the atom in μB.
Positions (direct):
1 Cr 0.5000 0.0000 0.2487  3.31
2 Cu 0.0000 0.5000 0.4300  0.12
3 Zn 0.0000 0.5000 0.0412  0.01
4 Ca 0.5000 0.0000 0.7271  0.01

Here is a relaxed CaZnCrCu crystal from Alexandria. Energies are from PBE.

Properties
SG: Pmmm (47)
ΔE to the lowest computed polymorph (meV/atom): 131.8
DFT formation energy (meV/atom): 267
V (Å³/f.u.): 73.1

Lattice parameters (Å, degrees): 4.6308 3.5724 4.4189 90.00 90.00 90.00
Last column: magnetic moment on the atom in μB.
Positions (direct):
1 Zn 0.5000 0.0000 0.1375  -0.07
2 Ca 0.0000 0.5000 0.1386  -0.05
3 Cr 0.5000 0.5000 0.6382  3.45
4 Cu 0.0000 0.0000 0.6387  0.00

Here is a relaxed CaZnCrCu crystal from Alexandria. Energies are from PBE.

Properties
SG: Imm2 (44)
ΔE to the lowest computed polymorph (meV/atom): 109.3
DFT formation energy (meV/atom): 245
V (Å³/f.u.): 74.3

Lattice parameters (Å, degrees): 3.2483 4.7798 9.5661 90.00 90.00 90.00
Last column: magnetic moment on the atom in μB.
Positions (direct):
1 Ca 0.5000 0.0000 0.8848  0.00
2 Cu 0.5000 0.0000 0.4030  0.03
3 Zn 0.0000 0.0000 0.6081  -0.04
4 Zn 0.5000 0.5000 0.1081  -0.04
5 Cu 0.0000 0.5000 0.9030  0.03
6 Cr 0.5000 0.5000 0.6762  3.59
7 Cr 0.0000 0.0000 0.1762  3.59
8 Ca 0.0000 0.5000 0.3848  0.00